P.
A relaxed structure of HfCoCuRh, computed with PBE.

Space-group type: F-43m (216)
Calculated density in g/cm3: 11.7
Total magnetization in μB per formula unit: 0.4

a = 6.1197 Å, b = 6.1197 Å, c = 6.1197 Å
α = 90.00°, β = 90.00°, γ = 90.00°
Fractional coordinates of all 16 atoms:
1 Hf 0.0000 0.0000 0.0000
2 Hf 0.0000 0.5000 0.5000
3 Hf 0.5000 0.0000 0.5000
4 Hf 0.5000 0.5000 0.0000
5 Co 0.2500 0.2500 0.2500
6 Co 0.2500 0.7500 0.7500
7 Co 0.7500 0.2500 0.7500
8 Co 0.7500 0.7500 0.2500
9 Cu 0.0000 0.0000 0.5000
10 Cu 0.0000 0.5000 0.0000
11 Cu 0.5000 0.0000 0.0000
12 Cu 0.5000 0.5000 0.5000
13 Rh 0.2500 0.2500 0.7500
14 Rh 0.2500 0.7500 0.2500
15 Rh 0.7500 0.2500 0.2500
16 Rh 0.7500 0.7500 0.7500

---

Q.
A relaxed structure of HfCoCuRh, computed with PBE.

Space-group type: Pmmm (47)
Calculated density in g/cm3: 11.9
Total magnetization in μB per formula unit: 0.7

a = 3.6533 Å, b = 3.9204 Å, c = 3.9416 Å
α = 90.00°, β = 90.00°, γ = 90.00°
Fractional coordinates of all 4 atoms:
1 Hf 0.0000 0.0000 0.0000
2 Co 0.5000 0.5000 0.0000
3 Cu 0.0000 0.5000 0.5000
4 Rh 0.5000 0.0000 0.5000

---

The structure with the greatest stability is Q.

---

P.
A relaxed structure of Ho4Co2Cu, computed with PBE.

Space-group type: Cm (8)
Calculated density in g/cm3: 8.9
Total magnetization in μB per formula unit: 0.0

a = 6.8621 Å, b = 6.8621 Å, c = 7.3784 Å
α = 105.89°, β = 105.89°, γ = 73.35°
Fractional coordinates of all 14 atoms:
1 Ho 0.0000 0.0000 0.0000
2 Ho 0.4826 0.9527 0.3507
3 Ho 0.4953 0.9647 0.8540
4 Ho 0.5013 0.5013 0.4835
5 Ho 0.5037 0.5037 0.9998
6 Ho 0.9527 0.4826 0.3507
7 Ho 0.9647 0.4953 0.8540
8 Ho 0.9928 0.9928 0.4780
9 Co 0.1892 0.6847 0.2070
10 Co 0.6847 0.1892 0.2070
11 Co 0.7812 0.7812 0.6345
12 Co 0.7844 0.7844 0.1257
13 Cu 0.2842 0.2842 0.6337
14 Cu 0.2872 0.2872 0.1311

---

Q.
A relaxed structure of Ho4Co2Cu, computed with PBE.

Space-group type: P1 (1)
Calculated density in g/cm3: 8.9
Total magnetization in μB per formula unit: 0.0

a = 6.9358 Å, b = 7.2863 Å, c = 7.3531 Å
α = 60.71°, β = 80.53°, γ = 74.72°
Fractional coordinates of all 14 atoms:
1 Ho 0.0000 0.0000 0.0000
2 Ho 0.9995 0.4887 0.0003
3 Ho 0.3371 0.1645 0.4757
4 Ho 0.3639 0.6512 0.5029
5 Ho 0.4454 0.6388 0.9818
6 Ho 0.4623 0.1470 0.9487
7 Ho 0.8338 0.2756 0.5172
8 Ho 0.8408 0.7745 0.5235
9 Co 0.1041 0.5698 0.2935
10 Co 0.1192 0.8600 0.7113
11 Co 0.1209 0.3641 0.6904
12 Co 0.7129 0.4078 0.8106
13 Cu 0.6913 0.2107 0.2013
14 Cu 0.7183 0.7220 0.1960

---

The structure with the greatest stability is P.

---

P.
A relaxed structure of Ho8CoCu2, computed with PBE.

Space-group type: C2/m (12)
Calculated density in g/cm3: 9.2
Total magnetization in μB per formula unit: 0.0

a = 8.8731 Å, b = 8.8731 Å, c = 6.5913 Å
α = 105.56°, β = 105.56°, γ = 33.15°
Fractional coordinates of all 11 atoms:
1 Ho 0.0320 0.0320 0.2923
2 Ho 0.2005 0.2005 0.8221
3 Ho 0.3365 0.3365 0.5250
4 Ho 0.4107 0.4107 0.0636
5 Ho 0.5893 0.5893 0.9364
6 Ho 0.6635 0.6635 0.4750
7 Ho 0.7995 0.7995 0.1779
8 Ho 0.9680 0.9680 0.7077
9 Co 0.5000 0.5000 0.5000
10 Cu 0.1861 0.1861 0.2249
11 Cu 0.8139 0.8139 0.7751

---

Q.
A relaxed structure of Ho8CoCu2, computed with PBE.

Space-group type: Cm (8)
Calculated density in g/cm3: 8.8
Total magnetization in μB per formula unit: 0.0

a = 9.0733 Å, b = 9.0733 Å, c = 5.6603 Å
α = 100.81°, β = 100.81°, γ = 135.52°
Fractional coordinates of all 11 atoms:
1 Ho 0.0000 0.0000 0.0000
2 Ho 0.1627 0.9330 0.5525
3 Ho 0.3497 0.5792 0.3240
4 Ho 0.5124 0.5124 0.8767
5 Ho 0.5500 0.9630 0.9380
6 Ho 0.5792 0.3497 0.3240
7 Ho 0.9330 0.1627 0.5525
8 Ho 0.9630 0.5500 0.9380
9 Co 0.7564 0.7564 0.4383
10 Cu 0.0085 0.5020 0.4368
11 Cu 0.5020 0.0085 0.4368

---

The structure with the greatest stability is P.

---

P.
A relaxed structure of PmHoCoCu, computed with PBE.

Space-group type: Amm2 (38)
Calculated density in g/cm3: 8.5
Total magnetization in μB per formula unit: 0.0

a = 4.3004 Å, b = 3.8378 Å, c = 10.2372 Å
α = 90.00°, β = 90.00°, γ = 90.00°
Fractional coordinates of all 8 atoms:
1 Pm 0.0000 0.0000 0.0000
2 Pm 0.0000 0.5000 0.5000
3 Ho 0.5000 0.0000 0.7188
4 Ho 0.5000 0.5000 0.2188
5 Co 0.0000 0.0000 0.2835
6 Co 0.0000 0.5000 0.7835
7 Cu 0.5000 0.0000 0.4218
8 Cu 0.5000 0.5000 0.9218

---

Q.
A relaxed structure of PmHoCoCu, computed with PBE.

Space-group type: F-43m (216)
Calculated density in g/cm3: 8.8
Total magnetization in μB per formula unit: 0.4

a = 6.8837 Å, b = 6.8837 Å, c = 6.8837 Å
α = 90.00°, β = 90.00°, γ = 90.00°
Fractional coordinates of all 16 atoms:
1 Pm 0.0000 0.0000 0.0000
2 Pm 0.0000 0.5000 0.5000
3 Pm 0.5000 0.0000 0.5000
4 Pm 0.5000 0.5000 0.0000
5 Ho 0.0000 0.0000 0.5000
6 Ho 0.0000 0.5000 0.0000
7 Ho 0.5000 0.0000 0.0000
8 Ho 0.5000 0.5000 0.5000
9 Co 0.2500 0.2500 0.2500
10 Co 0.2500 0.7500 0.7500
11 Co 0.7500 0.2500 0.7500
12 Co 0.7500 0.7500 0.2500
13 Cu 0.2500 0.2500 0.7500
14 Cu 0.2500 0.7500 0.2500
15 Cu 0.7500 0.2500 0.2500
16 Cu 0.7500 0.7500 0.7500

---

The structure with the greatest stability is P.

---

P.
A relaxed structure of TbHoCoCu, computed with PBE.

Space-group type: F-43m (216)
Calculated density in g/cm3: 9.4
Total magnetization in μB per formula unit: 0.4

a = 6.7999 Å, b = 6.7999 Å, c = 6.7999 Å
α = 90.00°, β = 90.00°, γ = 90.00°
Fractional coordinates of all 16 atoms:
1 Tb 0.0000 0.0000 0.0000
2 Tb 0.0000 0.5000 0.5000
3 Tb 0.5000 0.0000 0.5000
4 Tb 0.5000 0.5000 0.0000
5 Ho 0.0000 0.0000 0.5000
6 Ho 0.0000 0.5000 0.0000
7 Ho 0.5000 0.0000 0.0000
8 Ho 0.5000 0.5000 0.5000
9 Co 0.2500 0.2500 0.7500
10 Co 0.2500 0.7500 0.2500
11 Co 0.7500 0.2500 0.2500
12 Co 0.7500 0.7500 0.7500
13 Cu 0.2500 0.2500 0.2500
14 Cu 0.2500 0.7500 0.7500
15 Cu 0.7500 0.2500 0.7500
16 Cu 0.7500 0.7500 0.2500

---

Q.
A relaxed structure of TbHoCoCu, computed with PBE.

Space-group type: Amm2 (38)
Calculated density in g/cm3: 9.1
Total magnetization in μB per formula unit: 0.0

a = 4.2274 Å, b = 3.7972 Å, c = 10.1863 Å
α = 90.00°, β = 90.00°, γ = 90.00°
Fractional coordinates of all 8 atoms:
1 Tb 0.0000 0.0000 0.0000
2 Tb 0.0000 0.5000 0.5000
3 Ho 0.5000 0.0000 0.2812
4 Ho 0.5000 0.5000 0.7812
5 Co 0.0000 0.0000 0.7143
6 Co 0.0000 0.5000 0.2143
7 Cu 0.5000 0.0000 0.5744
8 Cu 0.5000 0.5000 0.0744

---

The structure with the greatest stability is Q.

---

P.
A relaxed structure of HoThCoCu, computed with PBE.

Space-group type: Amm2 (38)
Calculated density in g/cm3: 10.2
Total magnetization in μB per formula unit: 0.0

a = 3.8677 Å, b = 3.7989 Å, c = 11.5337 Å
α = 90.00°, β = 90.00°, γ = 90.00°
Fractional coordinates of all 8 atoms:
1 Ho 0.0000 0.0000 0.0000
2 Ho 0.0000 0.5000 0.5000
3 Th 0.5000 0.0000 0.7235
4 Th 0.5000 0.5000 0.2235
5 Co 0.0000 0.0000 0.2563
6 Co 0.0000 0.5000 0.7563
7 Cu 0.5000 0.0000 0.4228
8 Cu 0.5000 0.5000 0.9228

---

Q.
A relaxed structure of HoThCoCu, computed with PBE.

Space-group type: F-43m (216)
Calculated density in g/cm3: 10.4
Total magnetization in μB per formula unit: 0.0

a = 6.9211 Å, b = 6.9211 Å, c = 6.9211 Å
α = 90.00°, β = 90.00°, γ = 90.00°
Fractional coordinates of all 16 atoms:
1 Ho 0.0000 0.0000 0.0000
2 Ho 0.0000 0.5000 0.5000
3 Ho 0.5000 0.0000 0.5000
4 Ho 0.5000 0.5000 0.0000
5 Th 0.0000 0.0000 0.5000
6 Th 0.0000 0.5000 0.0000
7 Th 0.5000 0.0000 0.0000
8 Th 0.5000 0.5000 0.5000
9 Co 0.2500 0.2500 0.2500
10 Co 0.2500 0.7500 0.7500
11 Co 0.7500 0.2500 0.7500
12 Co 0.7500 0.7500 0.2500
13 Cu 0.2500 0.2500 0.7500
14 Cu 0.2500 0.7500 0.2500
15 Cu 0.7500 0.2500 0.2500
16 Cu 0.7500 0.7500 0.7500

---

The structure with the greatest stability is P.

---

P.
A relaxed structure of HoTmCoCu, computed with PBE.

Space-group type: F-43m (216)
Calculated density in g/cm3: 9.9
Total magnetization in μB per formula unit: 0.3

a = 6.7334 Å, b = 6.7334 Å, c = 6.7334 Å
α = 90.00°, β = 90.00°, γ = 90.00°
Fractional coordinates of all 16 atoms:
1 Ho 0.0000 0.0000 0.0000
2 Ho 0.0000 0.5000 0.5000
3 Ho 0.5000 0.0000 0.5000
4 Ho 0.5000 0.5000 0.0000
5 Tm 0.0000 0.0000 0.5000
6 Tm 0.0000 0.5000 0.0000
7 Tm 0.5000 0.0000 0.0000
8 Tm 0.5000 0.5000 0.5000
9 Co 0.2500 0.2500 0.7500
10 Co 0.2500 0.7500 0.2500
11 Co 0.7500 0.2500 0.2500
12 Co 0.7500 0.7500 0.7500
13 Cu 0.2500 0.2500 0.2500
14 Cu 0.2500 0.7500 0.7500
15 Cu 0.7500 0.2500 0.7500
16 Cu 0.7500 0.7500 0.2500

---

Q.
A relaxed structure of HoTmCoCu, computed with PBE.

Space-group type: Amm2 (38)
Calculated density in g/cm3: 9.5
Total magnetization in μB per formula unit: 0.0

a = 4.1793 Å, b = 3.7672 Å, c = 10.1246 Å
α = 90.00°, β = 90.00°, γ = 90.00°
Fractional coordinates of all 8 atoms:
1 Ho 0.0000 0.0000 0.0000
2 Ho 0.0000 0.5000 0.5000
3 Tm 0.5000 0.0000 0.2821
4 Tm 0.5000 0.5000 0.7821
5 Co 0.0000 0.0000 0.7153
6 Co 0.0000 0.5000 0.2153
7 Cu 0.5000 0.0000 0.5747
8 Cu 0.5000 0.5000 0.0747

---

The structure with the greatest stability is Q.

---

P.
A relaxed structure of YHoCoCu, computed with PBE.

Space-group type: F-43m (216)
Calculated density in g/cm3: 7.9
Total magnetization in μB per formula unit: 0.4

a = 6.7999 Å, b = 6.7999 Å, c = 6.7999 Å
α = 90.00°, β = 90.00°, γ = 90.00°
Fractional coordinates of all 16 atoms:
1 Y 0.0000 0.0000 0.0000
2 Y 0.0000 0.5000 0.5000
3 Y 0.5000 0.0000 0.5000
4 Y 0.5000 0.5000 0.0000
5 Ho 0.0000 0.0000 0.5000
6 Ho 0.0000 0.5000 0.0000
7 Ho 0.5000 0.0000 0.0000
8 Ho 0.5000 0.5000 0.5000
9 Co 0.2500 0.2500 0.7500
10 Co 0.2500 0.7500 0.2500
11 Co 0.7500 0.2500 0.2500
12 Co 0.7500 0.7500 0.7500
13 Cu 0.2500 0.2500 0.2500
14 Cu 0.2500 0.7500 0.7500
15 Cu 0.7500 0.2500 0.7500
16 Cu 0.7500 0.7500 0.2500

---

Q.
A relaxed structure of YHoCoCu, computed with PBE.

Space-group type: Amm2 (38)
Calculated density in g/cm3: 7.6
Total magnetization in μB per formula unit: 0.0

a = 4.1564 Å, b = 3.8272 Å, c = 10.3183 Å
α = 90.00°, β = 90.00°, γ = 90.00°
Fractional coordinates of all 8 atoms:
1 Y 0.0000 0.0000 0.0000
2 Y 0.0000 0.5000 0.5000
3 Ho 0.5000 0.0000 0.7186
4 Ho 0.5000 0.5000 0.2186
5 Co 0.0000 0.0000 0.2852
6 Co 0.0000 0.5000 0.7852
7 Cu 0.5000 0.0000 0.4241
8 Cu 0.5000 0.5000 0.9241

---

The structure with the greatest stability is Q.